A relaxed BiRhS2Br crystal. Source: Alexandria via LeMat-Bulk, functional PBE.

Calculated values
The uncorrected formation energy comes out at 0.93 eV per atom. For the calculated density, the calculation gives 6.5 Mg/m³.

Unit cell a=4.988 b=4.669 c=4.988 alpha=90.00 beta=90.00 gamma=90.00
Atoms (fractional coordinates):
S 0.000 0.000 0.500
S 0.500 0.000 0.000
Rh 0.000 0.500 0.000
Bi 0.500 0.500 0.500
Br 0.000 0.000 0.000

---

A relaxed BiRhSe2Br crystal. Source: Alexandria via LeMat-Bulk, functional PBE.

Calculated values
The uncorrected formation energy comes out at 0.08 eV per atom. For the calculated density, the calculation gives 7.5 Mg/m³.

Unit cell a=4.981 b=4.981 c=4.911 alpha=90.00 beta=90.00 gamma=90.00
Atoms (fractional coordinates):
Se 0.000 0.500 0.000
Se 0.500 0.000 0.000
Rh 0.000 0.000 0.000
Bi 0.500 0.500 0.500
Br 0.000 0.000 0.500

---

A relaxed SrBi2RhBr crystal. Source: Alexandria via LeMat-Bulk, functional PBE.

Calculated values
The uncorrected formation energy comes out at -0.46 eV per atom. For the calculated density, the calculation gives 6.7 Mg/m³.

Unit cell a=5.131 b=6.499 c=5.131 alpha=90.00 beta=90.00 gamma=90.00
Atoms (fractional coordinates):
Sr 0.000 0.500 0.000
Rh 0.000 0.000 0.000
Bi 0.000 0.000 0.500
Bi 0.500 0.000 0.000
Br 0.500 0.500 0.500

---

A relaxed Tl2BiRhBr crystal. Source: Alexandria via LeMat-Bulk, functional PBE.

Calculated values
The uncorrected formation energy comes out at -0.19 eV per atom. For the calculated density, the calculation gives 8.8 Mg/m³.

Unit cell a=5.381 b=5.381 c=5.228 alpha=90.00 beta=90.00 gamma=90.00
Atoms (fractional coordinates):
Tl 0.000 0.500 0.000
Tl 0.500 0.000 0.000
Rh 0.000 0.000 0.000
Bi 0.000 0.000 0.500
Br 0.500 0.500 0.500

---

A relaxed ZnBiRh2Br crystal. Source: Alexandria via LeMat-Bulk, functional PBE.

Calculated values
The uncorrected formation energy comes out at 0.75 eV per atom. For the calculated density, the calculation gives 8.5 Mg/m³.

Unit cell a=4.736 b=4.870 c=4.736 alpha=90.00 beta=90.00 gamma=90.00
Atoms (fractional coordinates):
Zn 0.000 0.500 0.000
Rh 0.000 0.000 0.500
Rh 0.500 0.000 0.000
Bi 0.500 0.500 0.500
Br 0.000 0.000 0.000

---

A relaxed Bi2RuBr crystal. Source: Alexandria via LeMat-Bulk, functional PBE.

Calculated values
The uncorrected formation energy comes out at 0.59 eV per atom. For the calculated density, the calculation gives 10.5 Mg/m³.

Unit cell a=5.112 b=5.112 c=5.112 alpha=60.00 beta=60.00 gamma=60.00
Atoms (fractional coordinates):
Ru 0.500 0.500 0.500
Bi 0.250 0.250 0.250
Bi 0.750 0.750 0.750
Br 0.000 0.000 0.000